Entry 1:
Below is a geometry-optimized Tb2Pm2SmDy4 structure, with properties calculated at the PBE level.

POSCAR file:
```
Tb2Pm2SmDy4
1.0
9.370 -1.805 0.000
9.370 1.805 0.000
-4.163 0.000 8.645
Tb Pm Sm Dy
2 2 1 4
direct
0.147 0.147 0.164
0.853 0.853 0.836
0.334 0.334 0.500
0.666 0.666 0.500
0.000 0.000 0.500
0.186 0.186 0.836
0.481 0.481 0.165
0.519 0.519 0.835
0.814 0.814 0.164
```

Entry 2:
Below is a geometry-optimized Tb2PmSmDy6 structure, with properties calculated at the PBE level.

POSCAR file:
```
Tb2PmSmDy6
1.0
4.532 -7.527 0.000
4.532 7.527 0.000
-1.353 0.000 9.544
Tb Pm Sm Dy
4 2 2 12
direct
0.194 0.297 0.044
0.297 0.194 0.544
0.703 0.806 0.456
0.806 0.703 0.956
0.407 0.593 0.750
0.593 0.407 0.250
0.023 0.977 0.250
0.977 0.023 0.750
0.024 0.572 0.183
0.121 0.748 0.557
0.252 0.879 0.943
0.293 0.506 0.380
0.428 0.976 0.317
0.494 0.707 0.120
0.506 0.293 0.880
0.572 0.024 0.683
0.707 0.494 0.620
0.748 0.121 0.057
0.879 0.252 0.443
0.976 0.428 0.817
```

Number 1: size of the total moment 0.0 μB/cell, uncorrected energy -41.9 eV for the cell shown, DOS(E_F) 11.882 states/eV/cell. Number 2: size of the total moment 0.0 μB/cell, uncorrected energy -90.2 eV for the cell shown, DOS(E_F) 29.806 states/eV/cell.